Material: CaNbAgW2
Method: DFT, PBE
State: relaxed

Its density of states at the Fermi level is 5.8 states/eV per cell. As for the formation energy: 1.80 eV per atom. For the volume, the calculation gives 25.37 A^3/atom. For the total energy, the calculation gives -6.362 eV/atom.

The structure belongs to space group P4/mmm (No. 123); the cell edges are 4.767, 4.767 and 5.581 Å and the angles 90.00°, 90.00° and 90.00°. Symmetry generates all atoms from Ca at (0.000, 0.000, 0.000), Nb at (0.000, 0.000, 0.500), Ag at (0.500, 0.500, 0.000) and W at (0.000, 0.500, 0.500).


Material: TbZr2Cd
Method: DFT, PBE
State: relaxed

Its density of states at the Fermi level is 3.8 states/eV per cell. The offset from the most stable computed form is 20 meV per atom. As for the formation energy: 0.02 eV per atom. For the volume, the calculation gives 24.21 A^3/atom. For the total energy, the calculation gives -5.645 eV/atom.

The structure belongs to space group P4/mmm (No. 123); the cell edges are 3.278, 3.278 and 9.009 Å and the angles 90.00°, 90.00° and 90.00°. Symmetry generates all atoms from Tb at (0.000, 0.000, 0.000), Zr at (0.500, 0.500, 0.265) and Cd at (0.000, 0.000, 0.500).


Material: Pm7Sm3Mg
Method: DFT, PBE
State: relaxed

Its density of states at the Fermi level is 16.1 states/eV per cell. As for the formation energy: 0.17 eV per atom. For the volume, the calculation gives 35.00 A^3/atom. For the total energy, the calculation gives -4.282 eV/atom.

The structure belongs to space group P3m1 (No. 156); the cell edges are 7.1341, 7.1341 and 8.7344 Å and the angles 90.00°, 90.00° and 120.00°. Symmetry generates all atoms from Pm at (0.0000, 0.0000, 0.0000), Pm at (0.1645, 0.3291, 0.6677), Pm at (0.5003, 0.0006, 0.9978), Sm at (0.3308, 0.1654, 0.3327) and Mg at (0.6667, 0.3333, 0.6693).


Material: AlSbMo3
Method: DFT, PBE
State: relaxed

Its density of states at the Fermi level is 6.5 states/eV per cell. The offset from the most stable computed form is 0 meV per atom. For the volume, the calculation gives 19.22 A^3/atom. For the total energy, the calculation gives -6.755 eV/atom.

The structure belongs to space group Pm-3m (No. 221); the cell edges are 4.580, 4.580 and 4.580 Å and the angles 90.00°, 90.00° and 90.00°. Symmetry generates all atoms from Al at (0.000, 0.000, 0.000), Sb at (0.500, 0.500, 0.500) and Mo at (0.000, 0.000, 0.500).


Question: Number 2 is which compound?
Answer: TbZr2Cd